Record 1
Entry from Alexandria: a geometry-optimized Li3Ti2NbO6 structure (PBEsol).

M_tot: 0.00 μB/f.u.
raw formation energy: -2.5238 eV per atom

a = 13.1067 Å, b = 2.8999 Å, c = 6.0328 Å
α = 90.00°, β = 107.28°, γ = 90.00°
Space group C2/m (No. 12)
Inequivalent atoms, fractional coordinates:
Li 0.0000 0.0000 0.0000 x2
Li 0.1686 0.5000 0.3217 x4
Ti 0.1581 0.5000 0.8176 x4
Nb 0.0000 0.0000 0.5000 x2
O 0.0024 0.5000 0.2359 x4
O 0.1727 0.0000 0.5937 x4
O 0.1745 0.0000 0.0607 x4



Record 2
Entry from Alexandria: a geometry-optimized LiSbPb2 structure (PBEsol).

M_tot: 0.00 μB/f.u.
raw formation energy: -0.1639 eV per atom

a = 4.6639 Å, b = 4.6639 Å, c = 4.8643 Å
α = 90.00°, β = 90.00°, γ = 90.00°
Space group P4/mmm (No. 123)
Inequivalent atoms, fractional coordinates:
Li 0.0000 0.0000 0.0000 x1
Sb 0.5000 0.5000 0.0000 x1
Pb 0.0000 0.5000 0.5000 x2



Record 3
Entry from Alexandria: a geometry-optimized CaY2TePb structure (PBEsol).

M_tot: 0.00 μB/f.u.
raw formation energy: -0.0690 eV per atom

a = 5.7023 Å, b = 5.7023 Å, c = 5.7080 Å
α = 90.00°, β = 90.00°, γ = 90.00°
Space group P4/mmm (No. 123)
Inequivalent atoms, fractional coordinates:
Ca 0.0000 0.0000 0.0000 x1
Y 0.0000 0.5000 0.5000 x2
Te 0.5000 0.5000 0.0000 x1
Pb 0.0000 0.0000 0.5000 x1



Record 4
Entry from Alexandria: a geometry-optimized LaY3H structure (PBEsol).

total energy: -6.00 eV/atom
M_tot: 0.00 μB/f.u.

a = 4.9864 Å, b = 4.9864 Å, c = 4.9864 Å
α = 90.00°, β = 90.00°, γ = 90.00°
Space group Pm-3m (No. 221)
Inequivalent atoms, fractional coordinates:
La 0.0000 0.0000 0.0000 x1
Y 0.0000 0.5000 0.5000 x3
H 0.5000 0.5000 0.5000 x1



Record 5
Entry from Alexandria: a geometry-optimized SrBe2Tc structure (PBEsol).

M_tot: 0.00 μB/f.u.
calculated formation energy: 605 meV per atom

a = 2.8799 Å, b = 2.8799 Å, c = 7.2992 Å
α = 90.00°, β = 90.00°, γ = 90.00°
Space group P4mm (No. 99)
Inequivalent atoms, fractional coordinates:
Sr 0.0000 0.0000 0.0000 x1
Be 0.0000 0.0000 0.5330 x1
Be 0.5000 0.5000 0.6694 x1
Tc 0.5000 0.5000 0.3479 x1



Record 6
Entry from Alexandria: a geometry-optimized Sc3AlF structure (PBEsol).

M_tot: 0.00 μB/f.u.
raw formation energy: 0.2193 eV per atom

a = 5.1258 Å, b = 5.1258 Å, c = 5.1258 Å
α = 90.00°, β = 90.00°, γ = 90.00°
Space group Pm-3m (No. 221)
Inequivalent atoms, fractional coordinates:
Sc 0.0000 0.0000 0.5000 x3
Al 0.0000 0.0000 0.0000 x1
F 0.5000 0.5000 0.5000 x1



Record 7
Entry from Alexandria: a geometry-optimized ZrSiTeBr2 structure (PBEsol).

M_tot: 1.29 μB/f.u.
raw formation energy: 0.9885 eV per atom

a = 5.3003 Å, b = 5.3003 Å, c = 5.3781 Å
α = 90.00°, β = 90.00°, γ = 90.00°
Space group P4/mmm (No. 123)
Inequivalent atoms, fractional coordinates:
Zr 0.0000 0.0000 0.0000 x1
Si 0.5000 0.5000 0.0000 x1
Te 0.5000 0.5000 0.5000 x1
Br 0.0000 0.5000 0.5000 x2



Record 8
Entry from Alexandria: a geometry-optimized CsNd5Se8 structure (PBEsol).

M_tot: 0.00 μB/f.u.
raw formation energy: -1.8087 eV per atom

a = 9.0254 Å, b = 9.0254 Å, c = 8.9103 Å
α = 90.00°, β = 90.00°, γ = 90.00°
Space group I-4 (No. 82)
Inequivalent atoms, fractional coordinates:
Cs 0.0000 0.0000 0.0000 x2
Nd 0.0000 0.5000 0.2500 x2
Nd 0.1330 0.2536 0.6293 x8
Se 0.0753 0.1829 0.3140 x8
Se 0.0850 0.3444 0.9486 x8



Record 9
Entry from Alexandria: a geometry-optimized Sc3TlH structure (PBEsol).

total energy: -5.54 eV/atom
M_tot: 1.62 μB/f.u.

a = 4.4426 Å, b = 4.4426 Å, c = 4.4426 Å
α = 90.00°, β = 90.00°, γ = 90.00°
Space group Pm-3m (No. 221)
Inequivalent atoms, fractional coordinates:
Sc 0.0000 0.0000 0.5000 x3
Tl 0.5000 0.5000 0.5000 x1
H 0.0000 0.0000 0.0000 x1



Record 10
Entry from Alexandria: a geometry-optimized Mn2ReSb structure (PBEsol).

M_tot: 0.66 μB/f.u.
raw formation energy: 0.3484 eV per atom

a = 2.9237 Å, b = 2.9237 Å, c = 6.4834 Å
α = 90.00°, β = 90.00°, γ = 90.00°
Space group P4/mmm (No. 123)
Inequivalent atoms, fractional coordinates:
Mn 0.0000 0.0000 0.2314 x2
Re 0.5000 0.5000 0.0000 x1
Sb 0.5000 0.5000 0.5000 x1



Record 11
Entry from Alexandria: a geometry-optimized Hf2ScGe2 structure (PBEsol).

M_tot: 0.00 μB/f.u.
calculated formation energy: -754 meV per atom

a = 7.0833 Å, b = 7.0833 Å, c = 3.6912 Å
α = 90.00°, β = 90.00°, γ = 90.00°
Space group P4/mbm (No. 127)
Inequivalent atoms, fractional coordinates:
Hf 0.1676 0.3324 0.0000 x4
Sc 0.0000 0.0000 0.5000 x2
Ge 0.1321 0.6321 0.5000 x4



Record 12
Entry from Alexandria: a geometry-optimized Fe2OsPb structure (PBEsol).

M_tot: 3.91 μB/f.u.
calculated formation energy: 613 meV per atom

a = 2.8569 Å, b = 4.2125 Å, c = 4.8609 Å
α = 90.00°, β = 90.00°, γ = 90.00°
Space group Pmm2 (No. 25)
Inequivalent atoms, fractional coordinates:
Fe 0.0000 0.0000 0.0000 x1
Fe 0.0000 0.5000 0.2734 x1
Os 0.5000 0.0000 0.4230 x1
Pb 0.5000 0.5000 0.7904 x1



Record 13
Entry from Alexandria: a geometry-optimized Tl2I3O9 structure (PBEsol).

M_tot: 0.00 μB/f.u.
raw formation energy: -0.4961 eV per atom

a = 7.0037 Å, b = 7.0348 Å, c = 10.4552 Å
α = 87.26°, β = 73.66°, γ = 71.42°
Space group P-1 (No. 2)
Inequivalent atoms, fractional coordinates:
Tl 0.0000 0.0000 0.0000 x1
Tl 0.1624 0.0380 0.5968 x2
Tl 0.5000 0.5000 0.0000 x1
I 0.0413 0.5225 0.8109 x2
I 0.4067 0.4570 0.3708 x2
I 0.4463 0.9737 0.1913 x2
O 0.0502 0.5520 0.3201 x2
O 0.0838 0.2054 0.1851 x2
O 0.1512 0.5487 0.0450 x2
O 0.2786 0.1500 0.8102 x2
O 0.3222 0.8366 0.3237 x2
O 0.3344 0.5545 0.6046 x2
O 0.4133 0.1994 0.4111 x2
O 0.4323 0.8346 0.0477 x2
O 0.4539 0.6207 0.8096 x2



Record 14
Entry from Alexandria: a geometry-optimized CsAuF2 structure (PBEsol).

M_tot: 0.14 μB/f.u.
raw formation energy: -1.6412 eV per atom

a = 4.6727 Å, b = 4.6727 Å, c = 18.9752 Å
α = 90.00°, β = 90.00°, γ = 120.00°
Space group R-3m (No. 166, hexagonal axes)
Inequivalent atoms, fractional coordinates:
Cs 0.0000 0.0000 0.0000 x3
Au 0.0000 0.0000 0.5000 x3
F 0.0000 0.0000 0.3963 x6



Record 15
Entry from Alexandria: a geometry-optimized CdAg2Sb structure (PBEsol).

M_tot: 0.00 μB/f.u.
raw formation energy: 0.0572 eV per atom

a = 9.2080 Å, b = 3.1201 Å, c = 5.6926 Å
α = 90.00°, β = 100.58°, γ = 90.00°
Space group C2/m (No. 12)
Inequivalent atoms, fractional coordinates:
Cd 0.0000 0.0000 0.0000 x2
Ag 0.2464 0.5000 0.2271 x4
Sb 0.0000 0.5000 0.5000 x2



Record 16
Entry from Alexandria: a geometry-optimized CuRuSe2 structure (PBEsol).

M_tot: 0.00 μB/f.u.
raw formation energy: 0.0166 eV per atom

a = 4.6815 Å, b = 4.7353 Å, c = 6.2136 Å
α = 90.00°, β = 90.00°, γ = 90.00°
Space group Amm2 (No. 38)
Inequivalent atoms, fractional coordinates:
Cu 0.0000 0.0000 0.0000 x2
Ru 0.5000 0.0000 0.7618 x2
Se 0.0000 0.0000 0.6158 x2
Se 0.5000 0.0000 0.1467 x2



Record 17
Entry from Alexandria: a geometry-optimized Cr3CdW structure (PBEsol).

M_tot: 8.00 μB/f.u.
calculated formation energy: 1580 meV per atom

a = 4.6240 Å, b = 4.6240 Å, c = 4.6240 Å
α = 90.00°, β = 90.00°, γ = 90.00°
Space group Pm-3m (No. 221)
Inequivalent atoms, fractional coordinates:
Cr 0.0000 0.0000 0.5000 x3
Cd 0.5000 0.5000 0.5000 x1
W 0.0000 0.0000 0.0000 x1



Record 18
Entry from Alexandria: a geometry-optimized ZnCo2Os structure (PBEsol).

M_tot: 0.02 μB/f.u.
calculated formation energy: 290 meV per atom

a = 5.7263 Å, b = 5.7263 Å, c = 5.7263 Å
α = 90.00°, β = 90.00°, γ = 90.00°
Space group F-43m (No. 216)
Inequivalent atoms, fractional coordinates:
Zn 0.0000 0.0000 0.0000 x4
Co 0.0000 0.0000 0.5000 x4
Co 0.2500 0.2500 0.2500 x4
Os 0.2500 0.2500 0.7500 x4



Record 19
Entry from Alexandria: a geometry-optimized MnZn2Os structure (PBEsol).

M_tot: 0.17 μB/f.u.
calculated formation energy: 24 meV per atom

a = 2.7570 Å, b = 2.7570 Å, c = 6.7317 Å
α = 90.00°, β = 90.00°, γ = 90.00°
Space group P4mm (No. 99)
Inequivalent atoms, fractional coordinates:
Mn 0.0000 0.0000 0.0000 x1
Zn 0.0000 0.0000 0.4945 x1
Zn 0.5000 0.5000 0.7571 x1
Os 0.5000 0.5000 0.2207 x1



Record 20
Entry from Alexandria: a geometry-optimized RbCa2H structure (PBEsol).

total energy: -2.19 eV/atom
M_tot: 0.00 μB/f.u.

a = 10.7504 Å, b = 10.7504 Å, c = 10.7504 Å
α = 90.00°, β = 90.00°, γ = 90.00°
Space group Fd-3m (No. 227, origin choice 2)
Inequivalent atoms, fractional coordinates:
Rb 0.1250 0.1250 0.1250 x8
Ca 0.0000 0.0000 0.5000 x16
H 0.1250 0.1250 0.6250 x8